LiMnPO4: relaxed, PBE with a Hubbard U.

Properties
Relative energy among the computed polymorphs: 11 meV per atom

abc: 5.1460 10.3199 8.6337
angles: 90.00 126.42 90.00
Space group P2_1/c (No. 14)
One atom of each set of equivalent atoms:
Li  0.1920  0.1511  0.4974 (multiplicity 4)
Mn  0.3058  0.6551  0.5036 (multiplicity 4)
P  0.0610  0.5951  0.7543 (multiplicity 4)
O  0.0022  0.5522  0.2480 (multiplicity 4)
O  0.1134  0.6579  0.9343 (multiplicity 4)
O  0.2342  0.1592  0.9333 (multiplicity 4)
O  0.3656  0.6202  0.7605 (multiplicity 4)